An optimized crystal structure of NiTeCl2, computed with PBE.

Cell lengths 4.3591, 4.3591, 4.3488 Å; angles 90.00, 90.00, 90.00 degrees
Fractional coordinates of all 4 atoms:
Ni1 0.0000 0.0000 0.0000
Te1 0.5000 0.5000 0.0000
Cl1 0.0000 0.5000 0.5000
Cl2 0.5000 0.0000 0.5000

Summary:
Relative energy among the computed polymorphs   970 meV per atom
Raw total energy   -10.334 eV per cell

An optimized crystal structure of Th2PaGaN5, computed with PBE.

Cell lengths 7.2717, 7.2717, 10.6205 Å; angles 90.00, 90.00, 152.24 degrees
Fractional coordinates of all 18 atoms:
Th1 0.1166 0.8834 0.5000
Th2 0.1329 0.8671 0.0997
Th3 0.8671 0.1329 0.5997
Th4 0.8834 0.1166 0.0000
Pa1 0.2039 0.7961 0.8080
Pa2 0.7961 0.2039 0.3080
Ga1 0.4947 0.5053 0.2809
Ga2 0.5053 0.4947 0.7809
N1 0.0437 0.9563 0.8573
N2 0.2890 0.7110 0.4567
N3 0.3033 0.6967 0.1623
N4 0.3622 0.6378 0.8194
N5 0.4929 0.5071 0.5949
N6 0.5071 0.4929 0.0949
N7 0.6378 0.3622 0.3194
N8 0.6967 0.3033 0.6623
N9 0.7110 0.2890 0.9567
N10 0.9563 0.0437 0.3573

Summary:
Raw total energy   -160.772 eV per cell

An optimized crystal structure of Cs4TmF7, computed with PBE.

Cell lengths 8.5718, 8.5718, 10.8173 Å; angles 123.62, 123.62, 29.85 degrees
Fractional coordinates of all 12 atoms:
Cs1 0.0438 0.0438 0.3451
Cs2 0.2537 0.2537 0.1828
Cs3 0.7463 0.7463 0.8172
Cs4 0.9562 0.9562 0.6549
Tm1 0.5000 0.5000 0.0000
F1 0.0000 0.0000 0.0000
F2 0.1256 0.1256 0.6551
F3 0.3803 0.3803 0.7677
F4 0.4007 0.4007 0.0666
F5 0.5993 0.5993 0.9334
F6 0.6197 0.6197 0.2323
F7 0.8744 0.8744 0.3449

Summary:
Raw total energy   -59.321 eV per cell

An optimized crystal structure of KBiWS2, computed with PBE.

Cell lengths 5.1135, 5.1135, 5.6203 Å; angles 90.00, 90.00, 90.00 degrees
Fractional coordinates of all 5 atoms:
K1 0.0000 0.0000 0.0000
Bi1 0.0000 0.0000 0.5000
W1 0.5000 0.5000 0.5000
S1 0.0000 0.5000 0.0000
S2 0.5000 0.0000 0.0000

Summary:
Raw total energy   -14.759 eV per cell

An optimized crystal structure of BaHf3Te, computed with PBE.

Cell lengths 5.4181, 5.4181, 5.4181 Å; angles 90.00, 90.00, 90.00 degrees
Fractional coordinates of all 5 atoms:
Ba1 0.0000 0.0000 0.0000
Hf1 0.0000 0.5000 0.5000
Hf2 0.5000 0.0000 0.5000
Hf3 0.5000 0.5000 0.0000
Te1 0.5000 0.5000 0.5000

Summary:
Relative energy among the computed polymorphs   0 meV per atom
Raw total energy   -31.600 eV per cell

An optimized crystal structure of BaLiCaEu, computed with PBE.

Cell lengths 6.2219, 6.2219, 6.2219 Å; angles 60.00, 60.00, 60.00 degrees
Fractional coordinates of all 4 atoms:
Ba1 0.0000 0.0000 0.0000
Li1 0.2500 0.2500 0.2500
Ca1 0.5000 0.5000 0.5000
Eu1 0.7500 0.7500 0.7500

Summary:
Raw total energy   -15.654 eV per cell